A plane-wave DFT calculation with PBE was carried out for a relaxed LaDySi3 crystal. Values from VASP.

Quantum ESPRESSO input file:
```
&SYSTEM
  ibrav = 0, nat = 5, ntyp = 3
/
ATOMIC_SPECIES
La 138.91 La.upf
Dy 162.50 Dy.upf
Si 28.09 Si.upf
ATOMIC_POSITIONS crystal
La 0.000 0.000 0.000
Dy 0.683 0.683 0.000
Si 0.333 0.833 0.500
Si 0.455 0.455 0.000
Si 0.833 0.333 0.500
CELL_PARAMETERS angstrom
-2.118 2.118 6.492
2.118 -2.118 6.492
2.118 2.118 -6.492
```

Size of the total moment in μB/f.u.: 0.142
Raw total energy in eV for the cell shown: -27.48
Calculated density in g cm⁻³: 5.5